TaCd2Pt | Alexandria | PBE-GGA | relaxed; energy of formation = 0.055 eV/atom; SG = P2/m; E_tot = -19.5 eV per cell; size of the total moment = 0.00 μB/cell; distance to the lowest polymorph of the same formula = 22.5 kJ/mol of atoms
1.0
4.8945 0.0000 0.0000
0.0000 2.8636 0.0069
0.0000 0.5629 5.2468
Pt Ta Cd
1 1 2
Direct
0.5000 0.2500 0.2500
0.5000 0.7500 0.7500
0.0000 0.0728 0.0044
0.0000 0.4272 0.4956